Density functional theory data (PBE) for an optimized crystal structure of HoCoAs2.

abc: 6.0087 6.0087 6.0087
angles: 37.48 37.48 37.48
Sites, in units of the cell vectors:
Ho 0.0000 0.0000 0.0000
Co 0.5000 0.5000 0.5000
As 0.2277 0.2277 0.2277
As 0.7723 0.7723 0.7723

Raw total energy in eV/atom: -5.945
SG: R-3m
Fermi-level density of states in states/eV/f.u.: 0.88